First-principles (PBE) data for a geometry-optimized AlGe2Ir structure, as listed in Alexandria.

a b c (Å): 7.059 7.059 7.059
angles (deg): 132.80 132.80 68.97
Fractional coordinates of all 8 atoms:
Al 0.000 0.000 0.000
Al 0.750 0.250 0.500
Ge 0.152 0.625 0.027
Ge 0.375 0.402 0.527
Ge 0.598 0.125 0.973
Ge 0.875 0.848 0.473
Ir 0.250 0.750 0.500
Ir 0.500 0.500 0.000

Computed properties:
The calculation puts the energy of formation from the pure elements at 0.9 eV per formula unit. The space group is No. 122.